(1)
# Nd5Tl2Hg2 | the Alexandria database | GGA-PBE | optimized geometry
data_Nd5Tl2Hg2
_space_group_name_H-M_alt 'P 1'
_space_group_IT_number 1
_cell_length_a 7.566
_cell_length_b 8.827
_cell_length_c 9.542
_cell_angle_alpha 117.55
_cell_angle_beta 90.00
_cell_angle_gamma 90.00
loop_
_space_group_symop_operation_xyz
'x,y,z'
loop_
_atom_site_label
_atom_site_type_symbol
_atom_site_fract_x
_atom_site_fract_y
_atom_site_fract_z
Nd1 Nd 0.341 0.954 0.280
Nd2 Nd 0.841 0.546 0.720
Nd3 Nd 0.841 0.826 0.280
Nd4 Nd 0.341 0.674 0.720
Nd5 Nd 0.159 0.174 0.720
Nd6 Nd 0.000 0.000 0.000
Nd7 Nd 0.500 0.500 0.000
Nd8 Nd 0.159 0.454 0.280
Nd9 Nd 0.659 0.046 0.720
Nd10 Nd 0.659 0.326 0.280
Tl1 Tl 0.000 0.791 0.581
Tl2 Tl 0.500 0.709 0.419
Tl3 Tl 0.500 0.291 0.581
Tl4 Tl 0.000 0.209 0.419
Hg1 Hg 0.881 0.360 0.000
Hg2 Hg 0.619 0.860 0.000
Hg3 Hg 0.381 0.140 0.000
Hg4 Hg 0.119 0.640 0.000
# DFT formation energy in kJ per mole of atoms: -32.5
# Electronic total energy in eV/atom: -3.58


(2)
# Li3Pd12W | the Alexandria database | GGA-PBE | optimized geometry
data_Li3Pd12W
_space_group_name_H-M_alt 'P 1'
_space_group_IT_number 1
_cell_length_a 3.916
_cell_length_b 3.916
_cell_length_c 15.534
_cell_angle_alpha 90.00
_cell_angle_beta 90.00
_cell_angle_gamma 90.00
loop_
_space_group_symop_operation_xyz
'x,y,z'
loop_
_atom_site_label
_atom_site_type_symbol
_atom_site_fract_x
_atom_site_fract_y
_atom_site_fract_z
Pd1 Pd 0.000 0.500 0.123
Pd2 Pd 0.000 0.500 0.376
Pd3 Pd 0.000 0.500 0.624
Pd4 Pd 0.500 0.500 0.749
Pd5 Pd 0.500 0.500 0.500
Pd6 Pd 0.500 0.000 0.123
Pd7 Pd 0.500 0.000 0.624
Pd8 Pd 0.500 0.000 0.877
Pd9 Pd 0.500 0.000 0.376
Pd10 Pd 0.500 0.500 0.251
Pd11 Pd 0.000 0.500 0.877
Pd12 Pd 0.500 0.500 0.000
Li1 Li 0.000 0.000 0.745
Li2 Li 0.000 0.000 0.255
Li3 Li 0.000 0.000 0.500
W1 W 0.000 0.000 0.000
# DFT formation energy in kJ per mole of atoms: -21.0
# Electronic total energy in eV/atom: -5.28


(3)
# Cs2Ba4Cu | the Alexandria database | GGA-PBE | optimized geometry
data_Cs2Ba4Cu
_space_group_name_H-M_alt 'P 1'
_space_group_IT_number 1
_cell_length_a 6.488
_cell_length_b 6.488
_cell_length_c 13.225
_cell_angle_alpha 75.80
_cell_angle_beta 75.80
_cell_angle_gamma 90.00
loop_
_space_group_symop_operation_xyz
'x,y,z'
loop_
_atom_site_label
_atom_site_type_symbol
_atom_site_fract_x
_atom_site_fract_y
_atom_site_fract_z
Ba1 Ba 0.500 0.000 0.000
Ba2 Ba 0.000 0.500 0.000
Ba3 Ba 0.875 0.875 0.251
Ba4 Ba 0.125 0.125 0.749
Cu1 Cu 0.000 0.000 0.000
Cs1 Cs 0.325 0.325 0.349
Cs2 Cs 0.675 0.675 0.651
# DFT formation energy in kJ per mole of atoms: 13.1
# Electronic total energy in eV/atom: -1.79


(4)
# LaNd3Pu2Te6 | the Alexandria database | GGA-PBE | optimized geometry
data_LaNd3Pu2Te6
_space_group_name_H-M_alt 'P 1'
_space_group_IT_number 1
_cell_length_a 7.765
_cell_length_b 7.765
_cell_length_c 7.808
_cell_angle_alpha 99.55
_cell_angle_beta 99.55
_cell_angle_gamma 120.00
loop_
_space_group_symop_operation_xyz
'x,y,z'
loop_
_atom_site_label
_atom_site_type_symbol
_atom_site_fract_x
_atom_site_fract_y
_atom_site_fract_z
Te1 Te 0.423 0.083 0.249
Te2 Te 0.083 0.423 0.249
Te3 Te 0.577 0.917 0.751
Te4 Te 0.917 0.577 0.751
Te5 Te 0.259 0.259 0.755
Te6 Te 0.741 0.741 0.245
La1 La 0.000 0.000 0.000
Nd1 Nd 0.163 0.837 0.500
Nd2 Nd 0.837 0.163 0.500
Nd3 Nd 0.500 0.500 0.500
Pu1 Pu 0.667 0.333 0.000
Pu2 Pu 0.333 0.667 0.000
# E_form (uncorrected) in meV/atom: -1354
# Electronic total energy in eV/atom: -6.92


(5)
# La3TlOs | the Alexandria database | GGA-PBE | optimized geometry
data_La3TlOs
_space_group_name_H-M_alt 'P 1'
_space_group_IT_number 1
_cell_length_a 6.778
_cell_length_b 8.279
_cell_length_c 10.707
_cell_angle_alpha 90.00
_cell_angle_beta 90.00
_cell_angle_gamma 90.00
loop_
_space_group_symop_operation_xyz
'x,y,z'
loop_
_atom_site_label
_atom_site_type_symbol
_atom_site_fract_x
_atom_site_fract_y
_atom_site_fract_z
La1 La 0.999 0.110 0.750
La2 La 0.499 0.890 0.750
La3 La 0.500 0.729 0.049
La4 La 0.000 0.271 0.049
La5 La 0.500 0.729 0.451
La6 La 0.000 0.729 0.951
La7 La 0.500 0.271 0.951
La8 La 0.000 0.271 0.451
La9 La 0.001 0.890 0.250
La10 La 0.500 0.271 0.549
La11 La 0.501 0.110 0.250
La12 La 0.000 0.729 0.549
Tl1 Tl 0.751 0.501 0.250
Tl2 Tl 0.249 0.499 0.750
Tl3 Tl 0.251 0.499 0.250
Tl4 Tl 0.749 0.501 0.750
Os1 Os 0.250 0.000 0.000
Os2 Os 0.250 0.000 0.500
Os3 Os 0.750 0.000 0.500
Os4 Os 0.750 0.000 0.000
# DFT formation energy in kJ per mole of atoms: -22.8
# Offset from the most stable computed form in eV/atom: 0.000
# Electronic total energy in eV/atom: -5.91


(6)
# CaAcAlGe | the Alexandria database | GGA-PBE | optimized geometry
data_CaAcAlGe
_space_group_name_H-M_alt 'P 1'
_space_group_IT_number 1
_cell_length_a 4.705
_cell_length_b 4.221
_cell_length_c 6.309
_cell_angle_alpha 90.00
_cell_angle_beta 111.89
_cell_angle_gamma 90.00
loop_
_space_group_symop_operation_xyz
'x,y,z'
loop_
_atom_site_label
_atom_site_type_symbol
_atom_site_fract_x
_atom_site_fract_y
_atom_site_fract_z
Ca1 Ca 0.030 0.000 0.060
Ge1 Ge 0.325 0.000 0.650
Ac1 Ac 0.751 0.500 0.503
Al1 Al 0.463 0.500 0.926
# DFT formation energy in kJ per mole of atoms: -50.9
# Offset from the most stable computed form in eV/atom: 0.000
# Electronic total energy in eV/atom: -4.14


(7)
# NaZnSe2 | the Alexandria database | GGA-PBE | optimized geometry
data_NaZnSe2
_space_group_name_H-M_alt 'P 1'
_space_group_IT_number 1
_cell_length_a 7.335
_cell_length_b 7.335
_cell_length_c 6.173
_cell_angle_alpha 53.55
_cell_angle_beta 53.55
_cell_angle_gamma 90.00
loop_
_space_group_symop_operation_xyz
'x,y,z'
loop_
_atom_site_label
_atom_site_type_symbol
_atom_site_fract_x
_atom_site_fract_y
_atom_site_fract_z
Se1 Se 0.078 0.625 0.250
Se2 Se 0.672 0.125 0.250
Se3 Se 0.375 0.328 0.750
Se4 Se 0.875 0.922 0.750
Na1 Na 0.250 0.750 0.500
Na2 Na 0.500 0.500 0.000
Zn1 Zn 0.000 0.000 0.000
Zn2 Zn 0.750 0.250 0.500
# E_form (uncorrected) in meV/atom: -576
# Electronic total energy in eV/atom: -2.97


(8)
# KVCl3 | the Alexandria database | GGA-PBE | optimized geometry
data_KVCl3
_space_group_name_H-M_alt 'P 1'
_space_group_IT_number 1
_cell_length_a 5.545
_cell_length_b 5.545
_cell_length_c 5.545
_cell_angle_alpha 90.00
_cell_angle_beta 90.00
_cell_angle_gamma 90.00
loop_
_space_group_symop_operation_xyz
'x,y,z'
loop_
_atom_site_label
_atom_site_type_symbol
_atom_site_fract_x
_atom_site_fract_y
_atom_site_fract_z
V1 V 0.500 0.500 0.500
K1 K 0.000 0.000 0.000
Cl1 Cl 0.000 0.000 0.500
Cl2 Cl 0.500 0.000 0.000
Cl3 Cl 0.000 0.500 0.000
# E_form (uncorrected) in meV/atom: -63
# Electronic total energy in eV/atom: -3.21


- Number 1 is which compound?
  Nd5Tl2Hg2


Please write out number 8 again, unchanged.
# KVCl3 | the Alexandria database | GGA-PBE | optimized geometry
data_KVCl3
_space_group_name_H-M_alt 'P 1'
_space_group_IT_number 1
_cell_length_a 5.545
_cell_length_b 5.545
_cell_length_c 5.545
_cell_angle_alpha 90.00
_cell_angle_beta 90.00
_cell_angle_gamma 90.00
loop_
_space_group_symop_operation_xyz
'x,y,z'
loop_
_atom_site_label
_atom_site_type_symbol
_atom_site_fract_x
_atom_site_fract_y
_atom_site_fract_z
V1 V 0.500 0.500 0.500
K1 K 0.000 0.000 0.000
Cl1 Cl 0.000 0.000 0.500
Cl2 Cl 0.500 0.000 0.000
Cl3 Cl 0.000 0.500 0.000
# E_form (uncorrected) in meV/atom: -63
# Electronic total energy in eV/atom: -3.21


- What is the formula in the seventh record?
  NaZnSe2


- Among the records above, which one has the lowest electronic total energy?
  LaNd3Pu2Te6